Below is an optimized crystal structure of SmDy2Ag, with properties calculated at the PBE level.

a = 3.5724 Å, b = 3.5724 Å, c = 31.5632 Å
α = 90.00°, β = 90.00°, γ = 120.00°
Element x y z (fractional)
Sm 0.0000 0.0000 0.0000
Sm 0.3333 0.6667 0.6667
Sm 0.6667 0.3333 0.3333
Dy 0.0000 0.0000 0.2407
Dy 0.0000 0.0000 0.7593
Dy 0.3333 0.6667 0.4260
Dy 0.3333 0.6667 0.9074
Dy 0.6667 0.3333 0.0926
Dy 0.6667 0.3333 0.5740
Ag 0.0000 0.0000 0.5000
Ag 0.3333 0.6667 0.1667
Ag 0.6667 0.3333 0.8333

Results
As for the relative energy among the computed polymorphs: 116 meV/atom. As for the formation enthalpy at 0 K: -0.017 eV/atom. The value obtained for the calculated density is 8.33 g/cm³.

Below is an optimized crystal structure of Sm2DyAg2, with properties calculated at the PBE level.

a = 13.7371 Å, b = 13.7371 Å, c = 5.3031 Å
α = 90.00°, β = 90.00°, γ = 164.55°
Element x y z (fractional)
Sm 0.0471 0.9529 0.7500
Sm 0.2343 0.7657 0.7500
Sm 0.7657 0.2343 0.2500
Sm 0.9529 0.0471 0.2500
Dy 0.1454 0.8546 0.2500
Dy 0.8546 0.1454 0.7500
Ag 0.3585 0.6415 0.2500
Ag 0.4499 0.5501 0.7500
Ag 0.5501 0.4499 0.2500
Ag 0.6415 0.3585 0.7500

Results
As for the relative energy among the computed polymorphs: 0 meV/atom. As for the formation enthalpy at 0 K: -0.209 eV/atom. The value obtained for the calculated density is 8.46 g/cm³.

> Which of these has the lowest relative energy among the computed polymorphs?

Sm2DyAg2

Please write out number 1 again, unchanged.
Below is an optimized crystal structure of SmDy2Ag, with properties calculated at the PBE level.

a = 3.5724 Å, b = 3.5724 Å, c = 31.5632 Å
α = 90.00°, β = 90.00°, γ = 120.00°
Element x y z (fractional)
Sm 0.0000 0.0000 0.0000
Sm 0.3333 0.6667 0.6667
Sm 0.6667 0.3333 0.3333
Dy 0.0000 0.0000 0.2407
Dy 0.0000 0.0000 0.7593
Dy 0.3333 0.6667 0.4260
Dy 0.3333 0.6667 0.9074
Dy 0.6667 0.3333 0.0926
Dy 0.6667 0.3333 0.5740
Ag 0.0000 0.0000 0.5000
Ag 0.3333 0.6667 0.1667
Ag 0.6667 0.3333 0.8333

Results
As for the relative energy among the computed polymorphs: 116 meV/atom. As for the formation enthalpy at 0 K: -0.017 eV/atom. The value obtained for the calculated density is 8.33 g/cm³.

> The highest calculated density belongs to which entry?

Sm2DyAg2